[1]
Material: NdTm2Pt
Method: DFT, PBE-GGA
State: optimized geometry

```
NdTm2Pt
1.0
-2.245 1.106 3.034
-3.867 -0.717 -0.050
-0.620 -7.791 4.931
Nd Tm Pt
1 2 1
Direct
0.502 0.502 0.494
0.058 0.058 0.825
0.274 0.274 0.178
0.666 0.666 0.003
```

Distance to the lowest polymorph of the same formula: 137 meV/atom
Formation energy: -0.570 eV/atom
Electronic total energy: -22.0 eV/f.u.

***

[2]
Material: Nd2TmPt3
Method: DFT, PBE-GGA
State: optimized geometry

```
Nd2TmPt3
1.0
-3.682 -1.943 0.065
2.019 -3.954 -3.810
2.774 -0.574 6.558
Nd Tm Pt
2 1 3
Direct
0.669 0.169 0.338
0.331 0.831 0.662
0.000 0.500 0.000
0.343 0.343 0.685
0.000 0.000 0.000
0.657 0.657 0.315
```

Formation energy: -1.076 eV/atom
Electronic total energy: -38.6 eV/f.u.

***

[3]
Material: NdTmPt2
Method: DFT, PBE-GGA
State: optimized geometry

```
NdTmPt2
1.0
5.000 0.000 0.000
2.500 4.330 0.000
2.500 1.443 4.083
Tm Nd Pt
1 1 2
Direct
0.000 0.000 0.000
0.500 0.500 0.500
0.250 0.250 0.250
0.750 0.750 0.750
```

Distance to the lowest polymorph of the same formula: 82 meV/atom
Formation energy: -1.135 eV/atom
Electronic total energy: -25.9 eV/f.u.

***

[4]
Material: NdTmPt
Method: DFT, PBE-GGA
State: optimized geometry

```
NdTmPt
1.0
6.896 0.000 0.000
0.000 7.133 0.000
0.000 0.000 13.397
Nd Tm Pt
8 8 8
Direct
0.791 0.400 0.804
0.209 0.600 0.196
0.709 0.900 0.196
0.209 0.100 0.304
0.291 0.100 0.804
0.791 0.900 0.696
0.291 0.600 0.696
0.709 0.400 0.304
0.003 0.259 0.530
0.997 0.741 0.470
0.497 0.759 0.470
0.997 0.241 0.030
0.503 0.241 0.530
0.003 0.759 0.970
0.503 0.741 0.970
0.497 0.259 0.030
0.731 0.039 0.901
0.269 0.961 0.099
0.769 0.539 0.099
0.269 0.461 0.401
0.231 0.461 0.901
0.731 0.539 0.599
0.231 0.961 0.599
0.769 0.039 0.401
```

Distance to the lowest polymorph of the same formula: 0 meV/atom
Formation energy: -0.906 eV/atom
Electronic total energy: -18.0 eV/f.u.

***

[5]
Material: NdTmPt10
Method: DFT, PBE-GGA
State: optimized geometry

```
NdTmPt10
1.0
4.458 0.000 0.000
0.000 5.388 0.000
0.000 0.000 9.279
Nd Tm Pt
1 1 10
Direct
0.000 0.000 0.000
0.000 0.500 0.500
0.000 0.000 0.337
0.000 0.500 0.828
0.000 0.500 0.172
0.000 0.000 0.663
0.500 0.000 0.500
0.500 0.500 0.000
0.500 0.251 0.252
0.500 0.749 0.748
0.500 0.749 0.252
0.500 0.251 0.748
```

Formation energy: -0.688 eV/atom
Electronic total energy: -77.9 eV/f.u.

***

[6]
Material: Nd2Tm3Pt2
Method: DFT, PBE-GGA
State: optimized geometry

```
Nd2Tm3Pt2
1.0
-3.120 2.019 -0.490
-2.230 -1.413 -5.957
-6.148 -5.785 0.964
Nd Tm Pt
2 3 2
Direct
0.159 0.493 0.188
0.841 0.507 0.812
0.500 0.000 0.000
0.383 0.797 0.437
0.617 0.203 0.563
0.166 0.910 0.758
0.834 0.090 0.242
```

Formation energy: -0.797 eV/atom
Electronic total energy: -40.6 eV/f.u.